The following is a DFT calculation (PBE+U) of a relaxed structure of MnP2F.

- E above lowest polymorph (eV/atom) = 0.616

Cell lengths 5.093, 5.093, 6.449 Å; angles 66.75, 66.75, 90.00 degrees
Positions (direct):
P 0.875 0.929 0.750
P 0.375 0.321 0.750
F 0.500 0.500 0.000
F 0.250 0.750 0.500
Mn 0.000 0.000 0.000
P 0.679 0.125 0.250
Mn 0.750 0.250 0.500
P 0.071 0.625 0.250